# 1
## La4Se4S (PBE-GGA)

Data for a relaxed structure of La4Se4S.

The value obtained for the raw formation energy is -1.77 eV/atom.

```
data_La4Se4S
_chemical_formula_sum 'La8 Se8 S2'
_space_group_name_H-M_alt 'I -4 2 m'
_space_group_IT_number 121
_space_group_name_Hall 'I -4 2'
_cell_length_a 7.116
_cell_length_b 7.116
_cell_length_c 12.792
_cell_angle_alpha 90.00
_cell_angle_beta 90.00
_cell_angle_gamma 90.00
loop_
_atom_site_label
_atom_site_type_symbol
_atom_site_fract_x
_atom_site_fract_y
_atom_site_fract_z
La1 La 0.221 0.221 0.129
Se1 Se 0.000 0.000 0.287
Se2 Se 0.000 0.500 0.000
S1 S 0.000 0.000 0.000
```

# 2
## Na3CdBr (PBE-GGA)

Data for a relaxed structure of Na3CdBr.

The value obtained for the raw formation energy is -0.43 eV/atom. The value obtained for the offset from the most stable computed form is 0 kJ/mol of formula units.

```
data_Na3CdBr
_chemical_formula_sum 'Na3 Cd1 Br1'
_space_group_name_H-M_alt 'P m -3 m'
_space_group_IT_number 221
_space_group_name_Hall '-P 4 2 3'
_cell_length_a 5.632
_cell_length_b 5.632
_cell_length_c 5.632
_cell_angle_alpha 90.00
_cell_angle_beta 90.00
_cell_angle_gamma 90.00
loop_
_atom_site_label
_atom_site_type_symbol
_atom_site_fract_x
_atom_site_fract_y
_atom_site_fract_z
Na1 Na 0.000 0.000 0.500
Cd1 Cd 0.500 0.500 0.500
Br1 Br 0.000 0.000 0.000
```

# 3
## BaMg3CdHg (PBE-GGA)

Data for a relaxed structure of BaMg3CdHg.

For the calculated formation energy, the calculation gives -0.122 eV/atom.

```
data_BaMg3CdHg
_chemical_formula_sum 'Ba4 Mg12 Cd4 Hg4'
_space_group_name_H-M_alt 'C m c m'
_space_group_IT_number 63
_space_group_name_Hall '-C 2c 2'
_cell_length_a 7.537
_cell_length_b 14.466
_cell_length_c 6.519
_cell_angle_alpha 90.00
_cell_angle_beta 90.00
_cell_angle_gamma 90.00
loop_
_atom_site_label
_atom_site_type_symbol
_atom_site_fract_x
_atom_site_fract_y
_atom_site_fract_z
Ba1 Ba 0.000 0.220 0.250
Mg1 Mg 0.000 0.355 0.750
Mg2 Mg 0.199 0.000 0.000
Cd1 Cd 0.000 0.448 0.250
Hg1 Hg 0.000 0.145 0.750
```

How do the records compare in total DFT energy (no corrections)? In the order shown, they have -107.3, -8.7, -34.6 eV/cell.